--- w ---
Li2ScSiI (PBE-GGA, relaxed); space-group type = P4/mmm, No. 123; theoretical density = 2.63 g cm⁻³; DOS(E_F) = 0.36 states/eV per atom
1.0
4.7473 0.0000 0.0000
0.0000 4.7473 0.0000
0.0000 0.0000 5.9933
Li Sc Si I
2 1 1 1
Direct
0.0000 0.5000 0.0000
0.5000 0.0000 0.0000
0.0000 0.0000 0.5000
0.5000 0.5000 0.5000
0.5000 0.5000 0.0000



--- x ---
Li2ScSiI (PBE-GGA, relaxed); space-group type = P4/mmm, No. 123; theoretical density = 2.00 g cm⁻³; DOS(E_F) = 0.97 states/eV per atom
1.0
5.7554 0.0000 0.0000
0.0000 5.7554 0.0000
0.0000 0.0000 5.3653
Li Sc Si I
2 1 1 1
Direct
0.0000 0.5000 0.0000
0.5000 0.0000 0.0000
0.0000 0.0000 0.0000
0.5000 0.5000 0.5000
0.0000 0.0000 0.5000



Which of them is most stable, and which least? Most stable: w; least stable: x.



--- w ---
Li2SeI (PBE-GGA, relaxed); space-group type = I-42d, No. 122; theoretical density = 3.24 g cm⁻³; DOS(E_F) = 0.48 states/eV per atom
1.0
-3.3432 3.3432 5.0404
3.3432 -3.3432 5.0404
3.3432 3.3432 -5.0404
Li Se I
4 2 2
Direct
0.1050 0.6250 0.9800
0.3750 0.3550 0.4800
0.6450 0.1250 0.0200
0.8750 0.8950 0.5200
0.0000 0.0000 0.0000
0.7500 0.2500 0.5000
0.2500 0.7500 0.5000
0.5000 0.5000 0.0000



--- x ---
Li2SeI (PBE-GGA, relaxed); space-group type = R-3m, No. 166; theoretical density = 3.09 g cm⁻³; DOS(E_F) = 0.33 states/eV per atom
1.0
2.0562 1.1872 8.0712
-2.0562 1.1872 8.0712
0.0000 -2.3743 8.0712
Li Se I
2 1 1
Direct
0.0990 0.0990 0.0990
0.9010 0.9010 0.9010
0.0000 0.0000 0.0000
0.5000 0.5000 0.5000



Which of them is most stable, and which least? Most stable: w; least stable: x.



--- w ---
LiSeI3 (PBE-GGA, relaxed); space-group type = P-1, No. 2; theoretical density = 3.20 g cm⁻³
1.0
7.8081 0.0000 0.0000
-0.0037 7.8191 0.0000
-3.8200 -2.0672 15.8629
Li Se I
4 4 12
Direct
0.1019 0.3795 0.2304
0.3858 0.6193 0.7701
0.6142 0.3807 0.2299
0.8981 0.6205 0.7696
0.1616 0.1502 0.8105
0.3832 0.8754 0.2811
0.6168 0.1246 0.7189
0.8384 0.8498 0.1895
0.1031 0.3943 0.6907
0.1908 0.8265 0.8698
0.2307 0.3457 0.9523
0.3224 0.5680 0.1589
0.4089 0.2341 0.3323
0.4541 0.7616 0.4228
0.5459 0.2384 0.5772
0.5911 0.7659 0.6677
0.6776 0.4320 0.8411
0.7693 0.6543 0.0477
0.8092 0.1735 0.1302
0.8969 0.6057 0.3093



--- x ---
LiSeI3 (PBE-GGA, relaxed); space-group type = Pm-3m, No. 221; theoretical density = 3.90 g cm⁻³; DOS(E_F) = 0.20 states/eV per atom
1.0
5.8330 0.0000 0.0000
0.0000 5.8330 0.0000
0.0000 0.0000 5.8330
Li Se I
1 1 3
Direct
0.0000 0.0000 0.0000
0.5000 0.5000 0.5000
0.0000 0.5000 0.5000
0.5000 0.0000 0.5000
0.5000 0.5000 0.0000



--- y ---
LiSeI3 (PBE-GGA, relaxed); space-group type = Pm-3m, No. 221; theoretical density = 4.64 g cm⁻³; DOS(E_F) = 1.69 states/eV per atom
1.0
5.5073 0.0000 0.0000
0.0000 5.5073 0.0000
0.0000 0.0000 5.5073
Li Se I
1 1 3
Direct
0.0000 0.0000 0.0000
0.5000 0.5000 0.5000
0.0000 0.0000 0.5000
0.0000 0.5000 0.0000
0.5000 0.0000 0.0000



Which of them is most stable, and which least? Most stable: w; least stable: y.



--- w ---
LiTeSeI2 (PBE-GGA, relaxed); space-group type = P4/mmm, No. 123; theoretical density = 5.22 g cm⁻³; DOS(E_F) = 0.86 states/eV per atom
1.0
5.0773 0.0000 0.0000
0.0000 5.0773 0.0000
0.0000 0.0000 5.7717
Li Te Se I
1 1 1 2
Direct
0.0000 0.0000 0.0000
0.0000 0.0000 0.5000
0.5000 0.5000 0.5000
0.0000 0.5000 0.0000
0.5000 0.0000 0.0000



--- x ---
LiTeSeI2 (PBE-GGA, relaxed); space-group type = P4/mmm, No. 123; theoretical density = 4.08 g cm⁻³; DOS(E_F) = 0.90 states/eV per atom
1.0
5.8220 0.0000 0.0000
0.0000 5.8220 0.0000
0.0000 0.0000 5.6166
Li Te Se I
1 1 1 2
Direct
0.0000 0.0000 0.0000
0.5000 0.5000 0.0000
0.5000 0.5000 0.5000
0.0000 0.5000 0.5000
0.5000 0.0000 0.5000



Which of them is most stable, and which least? Most stable: x; least stable: w.



--- w ---
Li3SiI (PBE-GGA, relaxed); space-group type = Pm-3m, No. 221; theoretical density = 2.21 g cm⁻³; DOS(E_F) = 0.59 states/eV per atom
1.0
5.0968 0.0000 0.0000
0.0000 5.0968 0.0000
0.0000 0.0000 5.0968
Li Si I
3 1 1
Direct
0.0000 0.0000 0.5000
0.0000 0.5000 0.0000
0.5000 0.0000 0.0000
0.5000 0.5000 0.5000
0.0000 0.0000 0.0000



--- x ---
Li3SiI (PBE-GGA, relaxed); space-group type = Pm-3m, No. 221; theoretical density = 2.26 g cm⁻³; DOS(E_F) = 0.64 states/eV per atom
1.0
5.0537 0.0000 0.0000
0.0000 5.0537 0.0000
0.0000 0.0000 5.0537
Li Si I
3 1 1
Direct
0.0000 0.0000 0.5000
0.0000 0.5000 0.0000
0.5000 0.0000 0.0000
0.0000 0.0000 0.0000
0.5000 0.5000 0.5000



Which of them is most stable, and which least? Most stable: x; least stable: w.



--- w ---
LiSi2I (PBE-GGA, relaxed); space-group type = I-42d, No. 122; theoretical density = 2.78 g cm⁻³; DOS(E_F) = 0.33 states/eV per atom
1.0
-1.8230 1.8230 17.0752
1.8230 -1.8230 17.0752
1.8230 1.8230 -17.0752
Li Si I
2 4 2
Direct
0.0000 0.0000 0.0000
0.7500 0.2500 0.5000
0.1190 0.6250 0.9940
0.3750 0.3690 0.4940
0.6310 0.1250 0.0060
0.8750 0.8810 0.5060
0.2500 0.7500 0.5000
0.5000 0.5000 0.0000



--- x ---
LiSi2I (PBE-GGA, relaxed); space-group type = Fm-3m, No. 225; theoretical density = 3.69 g cm⁻³; DOS(E_F) = 0.62 states/eV per atom
1.0
0.0000 3.4969 3.4969
3.4969 0.0000 3.4969
3.4969 3.4969 0.0000
Li Si I
1 2 1
Direct
0.0000 0.0000 0.0000
0.2500 0.2500 0.2500
0.7500 0.7500 0.7500
0.5000 0.5000 0.5000



Which of them is most stable, and which least? Most stable: w; least stable: x.